# Be2RhPb PBE relaxed
data_Be2RhPb
_chemical_formula_sum 'Be8 Rh4 Pb4'
_cell_length_a 4.2746
_cell_length_b 4.2746
_cell_length_c 15.3918
_cell_angle_alpha 90.00
_cell_angle_beta 90.00
_cell_angle_gamma 90.00
_space_group_name_H-M_alt 'I 41/a m d'
_space_group_IT_number 141
loop_
_space_group_symop_operation_xyz
'x,y,z'
'-x,-y,-z'
'-y+1/4,x+3/4,z+1/4'
'y+1/4,-x+3/4,-z+1/4'
'-x+1/2,-y,z+1/2'
'x+1/2,y,-z+1/2'
'y+1/4,-x+1/4,z+3/4'
'-y+1/4,x+1/4,-z+3/4'
'x,-y,-z'
'-x,y,z'
'-y+1/4,-x+1/4,-z+3/4'
'y+1/4,x+1/4,z+3/4'
'-x+1/2,y,-z+1/2'
'x+1/2,-y,z+1/2'
'y+1/4,x+3/4,-z+1/4'
'-y+1/4,-x+3/4,z+1/4'
'x+1/2,y+1/2,z+1/2'
'-x+1/2,-y+1/2,-z+1/2'
'-y+3/4,x+1/4,z+3/4'
'y+3/4,-x+1/4,-z+3/4'
'-x,-y+1/2,z'
'x,y+1/2,-z'
'y+3/4,-x+3/4,z+1/4'
'-y+3/4,x+3/4,-z+1/4'
'x+1/2,-y+1/2,-z+1/2'
'-x+1/2,y+1/2,z+1/2'
'-y+3/4,-x+3/4,-z+1/4'
'y+3/4,x+3/4,z+1/4'
'-x,y+1/2,-z'
'x,-y+1/2,z'
'y+3/4,x+1/4,-z+3/4'
'-y+3/4,-x+1/4,z+3/4'
loop_
_atom_site_label
_atom_site_type_symbol
_atom_site_fract_x
_atom_site_fract_y
_atom_site_fract_z
Be1 Be 0.0000 0.0000 0.0000
Rh1 Rh 0.0000 0.2500 0.8750
Pb1 Pb 0.0000 0.2500 0.3750
# DOS at the Fermi energy = 7.6 states/eV/cell
# formation enthalpy at 0 K = 294 meV per atom


# IrPtCl2 PBE relaxed
data_IrPtCl2
_chemical_formula_sum 'Ir2 Pt2 Cl4'
_cell_length_a 3.0010
_cell_length_b 4.7031
_cell_length_c 12.9726
_cell_angle_alpha 90.00
_cell_angle_beta 90.00
_cell_angle_gamma 90.00
_space_group_name_H-M_alt 'I m m m'
_space_group_IT_number 71
_space_group_name_Hall '-I 2 2'
loop_
_atom_site_label
_atom_site_type_symbol
_atom_site_fract_x
_atom_site_fract_y
_atom_site_fract_z
Ir1 Ir 0.0000 0.0000 0.0000
Pt1 Pt 0.0000 0.0000 0.5000
Cl1 Cl 0.0000 0.5000 0.3582
# raw formation energy = 0.377 eV/atom
# polymorph energy (0 for the lowest one) = 0.364 eV/atom
# DOS at the Fermi energy = 7.0 states/eV/cell


# Li2GaCu5 PBE relaxed
data_Li2GaCu5
_chemical_formula_sum 'Li4 Ga2 Cu10'
_cell_length_a 5.0863
_cell_length_b 10.2492
_cell_length_c 3.8245
_cell_angle_alpha 90.00
_cell_angle_beta 90.00
_cell_angle_gamma 90.00
_space_group_name_H-M_alt 'P b a m'
_space_group_IT_number 55
_space_group_name_Hall '-P 2 2ab'
loop_
_atom_site_label
_atom_site_type_symbol
_atom_site_fract_x
_atom_site_fract_y
_atom_site_fract_z
Li1 Li 0.2363 0.1301 0.0000
Ga1 Ga 0.0000 0.5000 0.5000
Cu1 Cu 0.0000 0.0000 0.5000
Cu2 Cu 0.0111 0.7505 0.5000
Cu3 Cu 0.2439 0.3772 0.0000
# DOS at the Fermi energy = 5.7 states/eV/cell
# formation enthalpy at 0 K = -102 meV per atom


# Al2PbAu PBE relaxed
data_Al2PbAu
_chemical_formula_sum 'Al2 Pb1 Au1'
_cell_length_a 5.1165
_cell_length_b 5.1165
_cell_length_c 3.2415
_cell_angle_alpha 90.00
_cell_angle_beta 90.00
_cell_angle_gamma 90.00
_space_group_name_H-M_alt 'P 4/m m m'
_space_group_IT_number 123
_space_group_name_Hall '-P 4 2'
loop_
_atom_site_label
_atom_site_type_symbol
_atom_site_fract_x
_atom_site_fract_y
_atom_site_fract_z
Al1 Al 0.0000 0.5000 0.0000
Pb1 Pb 0.0000 0.0000 0.5000
Au1 Au 0.5000 0.5000 0.5000
# DOS at the Fermi energy = 2.2 states/eV/cell
# formation enthalpy at 0 K = 211 meV per atom


Question: What is the DOS at the Fermi energy in the first record?
Answer: 7.6 states/eV/cell


Question: Which of these has the lowest DOS at the Fermi energy?
Answer: Al2PbAu


Copy entry 3 word for word.
# Li2GaCu5 PBE relaxed
data_Li2GaCu5
_chemical_formula_sum 'Li4 Ga2 Cu10'
_cell_length_a 5.0863
_cell_length_b 10.2492
_cell_length_c 3.8245
_cell_angle_alpha 90.00
_cell_angle_beta 90.00
_cell_angle_gamma 90.00
_space_group_name_H-M_alt 'P b a m'
_space_group_IT_number 55
_space_group_name_Hall '-P 2 2ab'
loop_
_atom_site_label
_atom_site_type_symbol
_atom_site_fract_x
_atom_site_fract_y
_atom_site_fract_z
Li1 Li 0.2363 0.1301 0.0000
Ga1 Ga 0.0000 0.5000 0.5000
Cu1 Cu 0.0000 0.0000 0.5000
Cu2 Cu 0.0111 0.7505 0.5000
Cu3 Cu 0.2439 0.3772 0.0000
# DOS at the Fermi energy = 5.7 states/eV/cell
# formation enthalpy at 0 K = -102 meV per atom


Question: Among the records above, which one has the lowest DOS at the Fermi energy?
Answer: Al2PbAu